(1)
Density functional theory data (PBE-GGA) for a relaxed PaGeRuO crystal.

Unit cell a=4.1350 b=4.1350 c=7.4865 alpha=90.00 beta=90.00 gamma=90.00
With the nearest neighbours (Å) after each atom.
Atoms (fractional coordinates):
1 Pa 0.0000 0.5000 0.8374  4 O 2.40
2 Pa 0.5000 0.0000 0.1626  4 O 2.40
3 Ge 0.5000 0.0000 0.6733  4 Ru 2.44
4 Ge 0.0000 0.5000 0.3267  4 Ru 2.44
5 Ru 0.0000 0.0000 0.5000  4 Ge 2.44
6 Ru 0.5000 0.5000 0.5000  4 Ge 2.44
7 O 0.5000 0.5000 0.0000  4 Pa 2.40
8 O 0.0000 0.0000 0.0000  4 Pa 2.40

Calculated density, g/cm³: 10.916
Formation energy without anion corrections, eV per atom: -1.6248
Space group: P4/nmm

---

(2)
Density functional theory data (PBE-GGA) for a relaxed PaGe2RuO8 crystal.

Unit cell a=5.9052 b=5.9052 c=5.9052 alpha=107.72 beta=107.72 gamma=113.04
With the nearest neighbours (Å) after each atom.
Atoms (fractional coordinates):
1 Pa 0.0000 0.0000 0.0000  8 O 2.21-2.41
2 Ge 0.7500 0.2500 0.5000  4 O 1.76
3 Ge 0.5000 0.5000 0.0000  4 O 1.79
4 Ru 0.2500 0.7500 0.5000  8 O 2.22-2.48
5 O 0.3813 0.0712 0.3102  1 Ge 1.76
6 O 0.3118 0.4983 0.1865  1 Ge 1.79
7 O 0.3118 0.1253 0.8135  1 Ge 1.79
8 O 0.7610 0.0712 0.6898  1 Ge 1.76
9 O 0.8747 0.6882 0.1865  1 Ge 1.79
10 O 0.9288 0.2390 0.3102  1 Ge 1.76
11 O 0.9288 0.6187 0.6898  1 Ge 1.76
12 O 0.5017 0.6882 0.8135  1 Ge 1.79

Calculated density, g/cm³: 6.360
Formation energy without anion corrections, eV per atom: -1.7822
Space group: I-4m2

---

(3)
Density functional theory data (PBE-GGA) for a relaxed Pa3GeS2O6 crystal.

Unit cell a=5.7895 b=7.6145 c=7.2272 alpha=121.79 beta=75.97 gamma=90.00
With the nearest neighbours (Å) after each atom.
Atoms (fractional coordinates):
1 Pa 0.0000 0.5000 0.0000  4 O 2.14
2 Pa 0.5000 0.5000 0.5000  4 O 2.11-2.19
3 Pa 0.5000 0.0000 0.5000  4 O 2.11-2.19
4 Ge 0.5000 0.0000 0.0000  2 O 2.14
5 S 0.2359 0.6714 0.3429  3 Pa 2.78-2.82, 1 O 3.06
6 S 0.7641 0.3286 0.6571  3 Pa 2.78-2.82, 1 O 3.06
7 O 0.7789 0.3990 0.1991  2 Pa 2.11-2.14
8 O 0.2211 0.6010 0.8009  2 Pa 2.11-2.14
9 O 0.5826 0.8190 0.6381  1 Ge 2.14, 2 Pa 2.19
10 O 0.4174 0.1810 0.3619  1 Ge 2.14, 2 Pa 2.19
11 O 0.2211 0.2000 0.8009  2 Pa 2.11-2.14
12 O 0.7789 0.8000 0.1991  2 Pa 2.11-2.14

Calculated density, g/cm³: 5.923
Formation energy without anion corrections, eV per atom: -2.5578
Space group: C2/m

---

(4)
Density functional theory data (PBE-GGA) for a relaxed PaGeSbO6 crystal.

Unit cell a=5.4584 b=5.4584 c=9.6165 alpha=90.00 beta=90.00 gamma=120.00
With the nearest neighbours (Å) after each atom.
Atoms (fractional coordinates):
1 Pa 0.3333 0.6667 0.2500  6 O 2.20
2 Pa 0.6667 0.3333 0.7500  6 O 2.20
3 Ge 0.6667 0.3333 0.2500  6 O 1.95
4 Ge 0.3333 0.6667 0.7500  6 O 1.95
5 Sb 0.0000 0.0000 0.0000  6 O 2.35
6 Sb 0.0000 0.0000 0.5000  6 O 2.35
7 O 0.6625 0.6280 0.1376  1 Ge 1.95
8 O 0.9655 0.3375 0.1376  1 Ge 1.95
9 O 0.3375 0.9655 0.6376  1 Ge 1.95
10 O 0.0345 0.6625 0.8624  1 Ge 1.95
11 O 0.3720 0.3375 0.3624  1 Ge 1.95
12 O 0.9655 0.6280 0.3624  1 Ge 1.95
13 O 0.6280 0.9655 0.8624  1 Ge 1.95
14 O 0.6625 0.0345 0.3624  1 Ge 1.95
15 O 0.0345 0.3720 0.6376  1 Ge 1.95
16 O 0.3720 0.0345 0.1376  1 Ge 1.95
17 O 0.6280 0.6625 0.6376  1 Ge 1.95
18 O 0.3375 0.3720 0.8624  1 Ge 1.95

Calculated density, g/cm³: 6.979
Formation energy without anion corrections, eV per atom: -2.1185
Space group: P-31c

---

(5)
Density functional theory data (PBE-GGA) for a relaxed Sc2PaGeO8 crystal.

Unit cell a=4.8048 b=4.8074 c=6.5083 alpha=90.00 beta=90.00 gamma=90.76
With the nearest neighbours (Å) after each atom.
Atoms (fractional coordinates):
1 Sc 0.5000 0.5000 0.7645  6 O 2.11-2.14
2 Sc 0.5000 0.5000 0.2355  6 O 2.11-2.14
3 Pa 0.0000 0.0000 0.5000  6 O 2.10-2.23
4 Ge 0.0000 0.0000 0.0000  6 O 1.92-1.94
5 O 0.1900 0.8093 0.2215  1 Ge 1.94, 1 Sc 2.12
6 O 0.7153 0.7159 0.0000  1 Ge 1.92, 2 Sc 2.11
7 O 0.8100 0.1907 0.2215  1 Ge 1.94, 1 Sc 2.12
8 O 0.8100 0.1907 0.7785  1 Ge 1.94, 1 Sc 2.12
9 O 0.2847 0.2841 0.0000  1 Ge 1.92, 2 Sc 2.11
10 O 0.1900 0.8093 0.7785  1 Ge 1.94, 1 Sc 2.12
11 O 0.6883 0.6895 0.5000  1 Pa 2.10, 2 Sc 2.14
12 O 0.3117 0.3105 0.5000  1 Pa 2.10, 2 Sc 2.14

Calculated density, g/cm³: 5.762
Formation energy without anion corrections, eV per atom: -2.7994
Space group: Cmmm

---

(6)
Density functional theory data (PBE-GGA) for a relaxed ScPaGe2O8 crystal.

Unit cell a=5.8497 b=5.8497 c=5.8497 alpha=107.65 beta=107.65 gamma=113.19
With the nearest neighbours (Å) after each atom.
Atoms (fractional coordinates):
1 Sc 0.2500 0.7500 0.5000  8 O 2.18-2.39
2 Pa 0.0000 0.0000 0.0000  8 O 2.21-2.40
3 Ge 0.7500 0.2500 0.5000  4 O 1.76
4 Ge 0.5000 0.5000 0.0000  4 O 1.78
5 O 0.3772 0.0628 0.3144  1 Ge 1.76
6 O 0.3132 0.5027 0.1895  1 Ge 1.78
7 O 0.3132 0.1237 0.8105  1 Ge 1.78
8 O 0.7484 0.0628 0.6856  1 Ge 1.76
9 O 0.8763 0.6868 0.1895  1 Ge 1.78
10 O 0.9372 0.2516 0.3144  1 Ge 1.76
11 O 0.9372 0.6228 0.6856  1 Ge 1.76
12 O 0.4973 0.6868 0.8105  1 Ge 1.78

Calculated density, g/cm³: 5.938
Formation energy without anion corrections, eV per atom: -2.5901
Space group: I-4m2

---

Let's list spin magnetization in order: 0.136 0.405 0.088 0.000 0.070 0.000 μB per atom.
Let's list D(E_F) in order: 6.9 2.1 0.8 0.0 6.4 0.0 states/eV/cell.